Ba2LaMn after structural relaxation. Source: the Alexandria database, functional PBE.

Cell lengths 5.673, 5.673, 5.673 Å; angles 60.00, 60.00, 60.00 degrees
Fractional coordinates of all 4 atoms:
Ba 0.250 0.250 0.250
La 0.500 0.500 0.500
Mn 0.000 0.000 0.000
Ba 0.750 0.750 0.750

Computed properties:
**Excess energy over the best structure of this formula in the dataset**: 777 meV/atom
**Space-group type**: No. 225
**DOS at the Fermi energy**: 4.3 states/eV per cell
**Crystal system**: cubic
**Energy of formation**: 1.0607 eV/atom